SrTc, PBEsol geometry, DFT SCAN; calculated formation energy = 813.8 meV/atom; M_tot = 0.00 μB per cell; E above lowest polymorph = 0.67 eV per formula unit; volume = 23.34 Å³ per atom; space group = R-3m; E = -111.4 eV/cell
1.0
2.680 1.547 3.753
-2.680 1.547 3.753
0.000 -3.094 3.753
Sr Tc
2 2
Cartesian
0.000 0.000 1.559
0.000 0.000 9.701
0.000 0.000 4.544
0.000 0.000 6.716



SrTc, PBEsol geometry, DFT SCAN; calculated formation energy = 476.5 meV/atom; M_tot = 0.00 μB per cell; E above lowest polymorph = 0.00 eV per formula unit; volume = 25.81 Å³ per atom; space group = Imma; E = -112.8 eV/cell
1.0
-1.881 2.701 5.079
1.881 -2.701 5.079
1.881 2.701 -5.079
Sr Tc
2 2
Cartesian
0.000 1.351 1.055
1.881 1.351 4.024
1.881 1.351 -1.892
0.000 1.351 6.971



SrTc3, PBEsol geometry, DFT SCAN; calculated formation energy = 605.9 meV/atom; M_tot = 0.00 μB per cell; E above lowest polymorph = 0.00 eV per formula unit; volume = 19.59 Å³ per atom; space group = C2/m; E = -125.0 eV/cell
1.0
4.635 -1.509 0.000
4.635 1.509 0.000
-1.429 0.000 5.601
Sr Tc
1 3
Cartesian
0.000 0.000 0.000
1.058 0.000 3.638
3.921 0.000 2.800
6.784 0.000 1.963



SrTc, PBEsol geometry, DFT SCAN; calculated formation energy = 1148.3 meV/atom; M_tot = 0.02 μB per cell; E above lowest polymorph = 1.34 eV per formula unit; volume = 21.22 Å³ per atom; space group = Fd-3m; E = -110.1 eV/cell
1.0
0.000 3.488 3.488
3.488 0.000 3.488
3.488 3.488 0.000
Sr Tc
2 2
Cartesian
0.872 0.872 0.872
6.104 6.104 6.104
2.616 2.616 2.616
4.360 4.360 4.360



SrTc3, PBEsol geometry, DFT SCAN; calculated formation energy = 816.6 meV/atom; M_tot = 0.00 μB per cell; E above lowest polymorph = 0.84 eV per formula unit; volume = 17.65 Å³ per atom; space group = Immm; E = -124.2 eV/cell
1.0
-1.502 2.507 4.686
1.502 -2.507 4.686
1.502 2.507 -4.686
Sr Tc
1 3
Cartesian
0.000 0.000 0.000
1.502 0.000 2.677
0.000 0.000 4.686
0.000 2.507 2.009



Sr2Tc, PBEsol geometry, DFT SCAN; calculated formation energy = 816.2 meV/atom; M_tot = 2.00 μB per cell; E above lowest polymorph = 0.00 eV per formula unit; volume = 31.28 Å³ per atom; space group = I4/mmm; E = -77.2 eV/cell
1.0
-1.783 1.783 7.379
1.783 -1.783 7.379
1.783 1.783 -7.379
Sr Tc
2 1
Cartesian
0.000 0.000 1.878
0.000 0.000 12.880
0.000 0.000 7.379



SrTc, PBEsol geometry, DFT SCAN; calculated formation energy = 2307.0 meV/atom; M_tot = 3.00 μB per cell; E above lowest polymorph = 3.66 eV per formula unit; volume = 37.71 Å³ per atom; space group = F-43m; E = -52.7 eV/cell
1.0
0.000 3.353 3.353
3.353 0.000 3.353
3.353 3.353 0.000
Sr Tc
1 1
Cartesian
0.000 0.000 0.000
1.677 1.677 1.677



SrTc, PBEsol geometry, DFT SCAN; calculated formation energy = 1402.4 meV/atom; M_tot = 1.24 μB per cell; E above lowest polymorph = 1.85 eV per formula unit; volume = 20.94 Å³ per atom; space group = R-3m; E = -54.5 eV/cell
1.0
1.532 0.884 5.153
-1.532 0.884 5.153
0.000 -1.769 5.153
Sr Tc
1 1
Cartesian
0.000 0.000 0.000
0.000 0.000 7.729



SrTc3, PBEsol geometry, DFT SCAN; calculated formation energy = 1009.7 meV/atom; M_tot = 0.00 μB per cell; E above lowest polymorph = 1.62 eV per formula unit; volume = 16.68 Å³ per atom; space group = R-3m; E = -123.4 eV/cell
1.0
4.669 2.696 0.883
-4.669 2.696 0.883
0.000 -5.392 0.883
Sr Tc
1 3
Cartesian
0.000 0.000 0.000
-2.335 -1.348 0.883
-2.335 1.348 1.767
0.000 2.696 0.883



Sr2Tc, PBEsol geometry, DFT SCAN; calculated formation energy = 1020.5 meV/atom; M_tot = 2.48 μB per cell; E above lowest polymorph = 0.61 eV per formula unit; volume = 33.20 Å³ per atom; space group = Fm-3m; E = -76.5 eV/cell
1.0
0.000 3.679 3.679
3.679 0.000 3.679
3.679 3.679 0.000
Sr Tc
2 1
Cartesian
1.840 1.840 1.840
5.519 5.519 5.519
0.000 0.000 0.000



SrTcTe2, PBEsol geometry, DFT SCAN; M_tot = 2.86 μB per cell; E above lowest polymorph = 1.53 eV per formula unit; volume = 26.76 Å³ per atom; space group = P4mm; formation energy (no corrections) = -4.7 kcal/mol of atoms; E = -132.6 eV/cell
1.0
3.922 0.000 0.000
0.000 3.922 0.000
0.000 0.000 6.956
Sr Tc Te
1 1 2
Cartesian
0.000 0.000 0.000
1.961 1.961 2.733
0.000 0.000 3.202
1.961 1.961 5.461



SrTc2Te, PBEsol geometry, DFT SCAN; M_tot = 0.00 μB per cell; volume = 23.86 Å³ per atom; space group = C2/m; formation energy (no corrections) = 5.2 kcal/mol of atoms; E = -128.7 eV/cell
1.0
4.721 -1.947 0.000
4.721 1.947 0.000
-1.729 0.000 5.192
Sr Tc Te
1 2 1
Cartesian
0.000 0.000 0.000
1.087 0.000 3.121
6.626 0.000 2.071
3.857 0.000 2.596